No. 1
# CsNd5Se8 | Alexandria | PBE | relaxed
data_CsNd5Se8
_space_group_name_H-M_alt 'P 1'
_space_group_IT_number 1
_cell_length_a 7.927
_cell_length_b 7.927
_cell_length_c 7.927
_cell_angle_alpha 109.05
_cell_angle_beta 109.05
_cell_angle_gamma 110.32
loop_
_space_group_symop_operation_xyz
'x,y,z'
loop_
_atom_site_label
_atom_site_type_symbol
_atom_site_fract_x
_atom_site_fract_y
_atom_site_fract_z
Cs1 Cs 0.000 0.000 0.000
Nd1 Nd 0.117 0.506 0.879
Nd2 Nd 0.250 0.750 0.500
Nd3 Nd 0.494 0.372 0.610
Nd4 Nd 0.628 0.238 0.121
Nd5 Nd 0.762 0.883 0.390
Se1 Se 0.030 0.288 0.428
Se2 Se 0.244 0.129 0.742
Se3 Se 0.387 0.502 0.258
Se4 Se 0.398 0.970 0.259
Se5 Se 0.498 0.756 0.885
Se6 Se 0.712 0.140 0.741
Se7 Se 0.860 0.602 0.572
Se8 Se 0.871 0.613 0.115
# Formation energy without anion corrections: -171.0 kJ per mole of atoms
# Calculated total energy: -5.53 eV/atom
# ρ: 6.4 Mg/m³
# Relative energy among the computed polymorphs: 0.050 eV per atom

No. 2
# NaCd3Pb | Alexandria | PBE | relaxed
data_NaCd3Pb
_space_group_name_H-M_alt 'P 1'
_space_group_IT_number 1
_cell_length_a 5.374
_cell_length_b 5.374
_cell_length_c 5.374
_cell_angle_alpha 90.00
_cell_angle_beta 90.00
_cell_angle_gamma 90.00
loop_
_space_group_symop_operation_xyz
'x,y,z'
loop_
_atom_site_label
_atom_site_type_symbol
_atom_site_fract_x
_atom_site_fract_y
_atom_site_fract_z
Na1 Na 0.000 0.000 0.000
Cd1 Cd 0.000 0.000 0.500
Cd2 Cd 0.000 0.500 0.000
Cd3 Cd 0.500 0.000 0.000
Pb1 Pb 0.500 0.500 0.500
# Calculated total energy: -1.08 eV/atom
# ρ: 6.1 Mg/m³
# Relative energy among the computed polymorphs: 0.517 eV per atom
# Energy of formation from the pure elements: 471 meV per atom

Question: Which value of calculated total energy does entry 1 give?
Answer: -5.53 eV/atom

Question: What is the formula in the second record?
Answer: NaCd3Pb

Question: Which value of relative energy among the computed polymorphs does entry 1 give?
Answer: 0.050 eV per atom